[1]
Y2Zn2Ga | the Alexandria database | PBE | relaxed; DFT formation energy = -0.423 eV/atom; space group = P4/mbm
1.0
6.939 0.000 0.000
0.000 6.939 0.000
0.000 0.000 4.499
Y Zn Ga
4 4 2
direct
0.175 0.325 0.000 Y
0.325 0.825 0.000 Y
0.675 0.175 0.000 Y
0.825 0.675 0.000 Y
0.128 0.628 0.500 Zn
0.372 0.128 0.500 Zn
0.628 0.872 0.500 Zn
0.872 0.372 0.500 Zn
0.000 0.000 0.500 Ga
0.500 0.500 0.500 Ga


[2]
SbIrPbI2 | the Alexandria database | PBE | relaxed; energy relative to the lowest polymorph listed for this composition = 0 meV per atom; space group = P4/mmm
1.0
5.609 0.000 0.000
0.000 5.609 0.000
0.000 0.000 5.043
Sb Ir Pb I
1 1 1 2
direct
0.000 0.000 0.000 Sb
0.000 0.000 0.500 Ir
0.500 0.500 0.000 Pb
0.000 0.500 0.500 I
0.500 0.000 0.500 I


[3]
ScAlPb2 | the Alexandria database | PBE | relaxed; DFT formation energy = 0.118 eV/atom; space group = F-43m
1.0
7.475 0.000 0.000
0.000 7.475 0.000
0.000 0.000 7.475
Sc Al Pb
4 4 8
direct
0.000 0.000 0.000 Sc
0.000 0.500 0.500 Sc
0.500 0.000 0.500 Sc
0.500 0.500 0.000 Sc
0.250 0.250 0.750 Al
0.250 0.750 0.250 Al
0.750 0.250 0.250 Al
0.750 0.750 0.750 Al
0.000 0.000 0.500 Pb
0.000 0.500 0.000 Pb
0.250 0.250 0.250 Pb
0.250 0.750 0.750 Pb
0.500 0.000 0.000 Pb
0.500 0.500 0.500 Pb
0.750 0.250 0.750 Pb
0.750 0.750 0.250 Pb


[4]
Ti3PbSe | the Alexandria database | PBE | relaxed; energy relative to the lowest polymorph listed for this composition = 1394 meV per atom; space group = Pm-3m
1.0
5.218 0.000 0.000
0.000 5.218 0.000
0.000 0.000 5.218
Ti Pb Se
3 1 1
direct
0.000 0.000 0.500 Ti
0.000 0.500 0.000 Ti
0.500 0.000 0.000 Ti
0.000 0.000 0.000 Pb
0.500 0.500 0.500 Se